Lu2Co3Ge5: optimized geometry, GGA-PBE.

Cell and atoms, written as CIF:
```
data_Lu2Co3Ge5
_chemical_formula_sum 'Lu4 Co6 Ge10'
_cell_length_a 8.0126
_cell_length_b 8.0126
_cell_length_c 5.6697
_cell_angle_alpha 109.18
_cell_angle_beta 109.18
_cell_angle_gamma 94.06
_space_group_name_H-M_alt 'P 1'
_space_group_IT_number 1
loop_
_space_group_symop_operation_xyz
'x,y,z'
loop_
_atom_site_label
_atom_site_type_symbol
_atom_site_fract_x
_atom_site_fract_y
_atom_site_fract_z
Lu1 Lu 0.0906 0.3735 0.2320
Lu2 Lu 0.3735 0.0906 0.7320
Lu3 Lu 0.6265 0.9094 0.2680
Lu4 Lu 0.9094 0.6265 0.7680
Co1 Co 0.0436 0.7614 0.3774
Co2 Co 0.2386 0.9564 0.1226
Co3 Co 0.4958 0.5042 0.2500
Co4 Co 0.5042 0.4958 0.7500
Co5 Co 0.7614 0.0436 0.8774
Co6 Co 0.9564 0.2386 0.6226
Ge1 Ge 0.0108 0.9892 0.7500
Ge2 Ge 0.2379 0.4190 0.8250
Ge3 Ge 0.2723 0.7277 0.7500
Ge4 Ge 0.2876 0.7124 0.2500
Ge5 Ge 0.4190 0.2379 0.3250
Ge6 Ge 0.5810 0.7621 0.6750
Ge7 Ge 0.7124 0.2876 0.7500
Ge8 Ge 0.7277 0.2723 0.2500
Ge9 Ge 0.7621 0.5810 0.1750
Ge10 Ge 0.9892 0.0108 0.2500
```

Total magnetic moment, μB per formula unit: 0.50

***

Tc2Hg2O5: optimized geometry, GGA-PBE.

Cell and atoms, written as CIF:
```
data_Tc2Hg2O5
_chemical_formula_sum 'Tc2 Hg2 O5'
_cell_length_a 3.3802
_cell_length_b 3.3802
_cell_length_c 10.4048
_cell_angle_alpha 90.00
_cell_angle_beta 90.00
_cell_angle_gamma 90.00
_space_group_name_H-M_alt 'P 1'
_space_group_IT_number 1
loop_
_space_group_symop_operation_xyz
'x,y,z'
loop_
_atom_site_label
_atom_site_type_symbol
_atom_site_fract_x
_atom_site_fract_y
_atom_site_fract_z
Tc1 Tc 0.0000 0.0000 0.0000
Tc2 Tc 0.0000 0.0000 0.5000
Hg1 Hg 0.5000 0.5000 0.2287
Hg2 Hg 0.5000 0.5000 0.7713
O1 O 0.0000 0.5000 0.3891
O2 O 0.0000 0.5000 0.6109
O3 O 0.5000 0.0000 0.3891
O4 O 0.5000 0.0000 0.6109
O5 O 0.5000 0.5000 0.0000
```

Total magnetic moment, μB per formula unit: 4.84
Energy above the most stable polymorph in this dataset, meV/atom: 514

***

TbHf2Pb2: optimized geometry, GGA-PBE.

Cell and atoms, written as CIF:
```
data_TbHf2Pb2
_chemical_formula_sum 'Tb1 Hf2 Pb2'
_cell_length_a 7.1247
_cell_length_b 7.1247
_cell_length_c 7.1247
_cell_angle_alpha 140.96
_cell_angle_beta 140.96
_cell_angle_gamma 56.41
_space_group_name_H-M_alt 'P 1'
_space_group_IT_number 1
loop_
_space_group_symop_operation_xyz
'x,y,z'
loop_
_atom_site_label
_atom_site_type_symbol
_atom_site_fract_x
_atom_site_fract_y
_atom_site_fract_z
Tb1 Tb 0.0000 0.0000 0.0000
Hf1 Hf 0.3930 0.3930 0.0000
Hf2 Hf 0.6070 0.6070 0.0000
Pb1 Pb 0.2500 0.7500 0.5000
Pb2 Pb 0.7500 0.2500 0.5000
```

Total magnetic moment, μB per formula unit: 0.02
Energy above the most stable polymorph in this dataset, meV/atom: 401

***

LaMgAg2: optimized geometry, GGA-PBE.

Cell and atoms, written as CIF:
```
data_LaMgAg2
_chemical_formula_sum 'La2 Mg2 Ag4'
_cell_length_a 5.1694
_cell_length_b 5.1694
_cell_length_c 8.3590
_cell_angle_alpha 90.00
_cell_angle_beta 90.00
_cell_angle_gamma 120.00
_space_group_name_H-M_alt 'P 1'
_space_group_IT_number 1
loop_
_space_group_symop_operation_xyz
'x,y,z'
loop_
_atom_site_label
_atom_site_type_symbol
_atom_site_fract_x
_atom_site_fract_y
_atom_site_fract_z
La1 La 0.0000 0.0000 0.0000
La2 La 0.0000 0.0000 0.5000
Mg1 Mg 0.3333 0.6667 0.2500
Mg2 Mg 0.6667 0.3333 0.7500
Ag1 Ag 0.3333 0.6667 0.5879
Ag2 Ag 0.3333 0.6667 0.9121
Ag3 Ag 0.6667 0.3333 0.0879
Ag4 Ag 0.6667 0.3333 0.4121
```

Total magnetic moment, μB per formula unit: 0.00

***

TbNdO4: optimized geometry, GGA-PBE.

Cell and atoms, written as CIF:
```
data_TbNdO4
_chemical_formula_sum 'Tb1 Nd1 O4'
_cell_length_a 3.9093
_cell_length_b 3.9093
_cell_length_c 6.2783
_cell_angle_alpha 95.95
_cell_angle_beta 95.95
_cell_angle_gamma 58.31
_space_group_name_H-M_alt 'P 1'
_space_group_IT_number 1
loop_
_space_group_symop_operation_xyz
'x,y,z'
loop_
_atom_site_label
_atom_site_type_symbol
_atom_site_fract_x
_atom_site_fract_y
_atom_site_fract_z
Tb1 Tb 0.0000 0.0000 0.0000
Nd1 Nd 0.3734 0.3734 0.4608
O1 O 0.0370 0.0370 0.3662
O2 O 0.3333 0.3333 0.0766
O3 O 0.5974 0.5974 0.7999
O4 O 0.7712 0.7712 0.6781
```

Total magnetic moment, μB per formula unit: 0.00

***

Li6ZnGe2: optimized geometry, GGA-PBE.

Cell and atoms, written as CIF:
```
data_Li6ZnGe2
_chemical_formula_sum 'Li6 Zn1 Ge2'
_cell_length_a 4.8365
_cell_length_b 4.8365
_cell_length_c 7.7349
_cell_angle_alpha 94.06
_cell_angle_beta 94.06
_cell_angle_gamma 54.82
_space_group_name_H-M_alt 'P 1'
_space_group_IT_number 1
loop_
_space_group_symop_operation_xyz
'x,y,z'
loop_
_atom_site_label
_atom_site_type_symbol
_atom_site_fract_x
_atom_site_fract_y
_atom_site_fract_z
Li1 Li 0.0197 0.0197 0.2197
Li2 Li 0.2011 0.2011 0.5653
Li3 Li 0.3266 0.3266 0.9032
Li4 Li 0.6734 0.6734 0.0968
Li5 Li 0.7989 0.7989 0.4347
Li6 Li 0.9803 0.9803 0.7803
Zn1 Zn 0.5000 0.5000 0.5000
Ge1 Ge 0.3329 0.3329 0.2383
Ge2 Ge 0.6671 0.6671 0.7617
```

***

Pr2HoMg3Ir3: optimized geometry, GGA-PBE.

Cell and atoms, written as CIF:
```
data_Pr2HoMg3Ir3
_chemical_formula_sum 'Pr2 Ho1 Mg3 Ir3'
_cell_length_a 4.1279
_cell_length_b 7.3727
_cell_length_c 7.3727
_cell_angle_alpha 119.89
_cell_angle_beta 90.00
_cell_angle_gamma 90.00
_space_group_name_H-M_alt 'P 1'
_space_group_IT_number 1
loop_
_space_group_symop_operation_xyz
'x,y,z'
loop_
_atom_site_label
_atom_site_type_symbol
_atom_site_fract_x
_atom_site_fract_y
_atom_site_fract_z
Pr1 Pr 0.0000 0.2063 0.7937
Pr2 Pr 0.0000 0.7937 0.2063
Ho1 Ho 0.0000 0.6130 0.6130
Mg1 Mg 0.5000 0.2107 0.4490
Mg2 Mg 0.5000 0.4490 0.2107
Mg3 Mg 0.5000 0.9632 0.9632
Ir1 Ir 0.0000 0.2140 0.2140
Ir2 Ir 0.5000 0.5442 0.8647
Ir3 Ir 0.5000 0.8647 0.5442
```

Total magnetic moment, μB per formula unit: 0.01

***

ThCuAg: optimized geometry, GGA-PBE.

Cell and atoms, written as CIF:
```
data_ThCuAg
_chemical_formula_sum 'Th1 Cu1 Ag1'
_cell_length_a 4.6361
_cell_length_b 4.6361
_cell_length_c 4.6361
_cell_angle_alpha 60.00
_cell_angle_beta 60.00
_cell_angle_gamma 60.00
_space_group_name_H-M_alt 'P 1'
_space_group_IT_number 1
loop_
_space_group_symop_operation_xyz
'x,y,z'
loop_
_atom_site_label
_atom_site_type_symbol
_atom_site_fract_x
_atom_site_fract_y
_atom_site_fract_z
Th1 Th 0.0000 0.0000 0.0000
Cu1 Cu 0.7500 0.7500 0.7500
Ag1 Ag 0.5000 0.5000 0.5000
```

Total magnetic moment, μB per formula unit: 0.00
Formation enthalpy at 0 K, eV per atom: 0.028
Energy above the most stable polymorph in this dataset, meV/atom: 0

***

PdF2: optimized geometry, GGA-PBE.

Cell and atoms, written as CIF:
```
data_PdF2
_chemical_formula_sum 'Pd2 F4'
_cell_length_a 4.4729
_cell_length_b 4.4729
_cell_length_c 4.4729
_cell_angle_alpha 60.00
_cell_angle_beta 60.00
_cell_angle_gamma 60.00
_space_group_name_H-M_alt 'P 1'
_space_group_IT_number 1
loop_
_space_group_symop_operation_xyz
'x,y,z'
loop_
_atom_site_label
_atom_site_type_symbol
_atom_site_fract_x
_atom_site_fract_y
_atom_site_fract_z
Pd1 Pd 0.1250 0.1250 0.1250
Pd2 Pd 0.8750 0.8750 0.8750
F1 F 0.0000 0.5000 0.5000
F2 F 0.5000 0.0000 0.5000
F3 F 0.5000 0.5000 0.0000
F4 F 0.5000 0.5000 0.5000
```

***

For the records above, the corresponding E_tot values read -5.891 -5.244 -6.006 -3.235 -7.752 -2.748 -5.651 -4.624 -2.825 eV per atom.